# 1
## K2YZr (GGA-PBE)

Data for K2YZr after structural relaxation.

a b c (Å): 7.677 7.677 7.677
angles (deg): 144.49 144.49 51.09
Last column: magnetic moment on the atom in μB.
Sites, in units of the cell vectors:
K: 0.000 0.000 0.000  0.01
K: 0.500 0.500 0.000  0.01
Y: 0.250 0.750 0.500  0.24
Zr: 0.750 0.250 0.500  0.88

Output
Energy relative to the elements in meV per atom: 862
Energy relative to the lowest polymorph listed for this composition in kJ per mole of atoms: 45.6
Total moment in μB per formula unit: 2.1
Theoretical density in g/cm3: 2.8
Volume in Å³ per atom: 37.953
Calculated total energy in eV per atom: -3.440
Density of states at the Fermi level in states/eV/cell: 5.889
SG: I4/mmm (139)

=====

# 2
## YSb2Au (GGA-PBE)

Data for YSb2Au after structural relaxation.

a b c (Å): 8.043 8.043 6.543
angles (deg): 52.07 52.07 90.00
Sites, in units of the cell vectors:
Y: 0.500 0.500 0.000
Y: 0.250 0.750 0.500
Sb: 0.664 0.125 0.250
Sb: 0.086 0.625 0.250
Sb: 0.375 0.336 0.750
Sb: 0.875 0.914 0.750
Au: 0.000 0.000 0.000
Au: 0.750 0.250 0.500

Output
Total moment in μB per formula unit: 0.0
Theoretical density in g/cm3: 8.4
Volume in Å³ per atom: 26.153
Calculated total energy in eV per atom: -4.928
Density of states at the Fermi level in states/eV/cell: 2.977
SG: I-42d (122)

=====

# 3
## NdDyTm3 (GGA-PBE)

Data for NdDyTm3 after structural relaxation.

a b c (Å): 9.155 6.235 6.683
angles (deg): 117.84 107.65 89.99
Sites, in units of the cell vectors:
Nd: 0.250 0.528 0.499
Nd: 0.750 0.872 0.501
Dy: 0.651 0.732 0.897
Dy: 0.349 0.668 0.103
Tm: 0.149 0.065 0.898
Tm: 0.951 0.467 0.702
Tm: 0.550 0.264 0.297
Tm: 0.450 0.136 0.703
Tm: 0.049 0.933 0.298
Tm: 0.851 0.335 0.102

Output
Energy relative to the elements in meV per atom: 5
Energy relative to the lowest polymorph listed for this composition in kJ per mole of atoms: 0.0
Total moment in μB per formula unit: 0.0
Theoretical density in g/cm3: 8.5
Volume in Å³ per atom: 31.691
Calculated total energy in eV per atom: -4.552
Density of states at the Fermi level in states/eV/cell: 15.325
SG: P-1 (2)

=====

# 4
## CsC2F (GGA-PBE)

Data for CsC2F after structural relaxation.

a b c (Å): 3.489 3.489 14.785
angles (deg): 83.22 83.22 90.00
Sites, in units of the cell vectors:
Cs: 0.000 0.000 0.000
Cs: 0.750 0.250 0.500
C: 0.375 0.125 0.250
C: 0.375 0.625 0.250
C: 0.375 0.625 0.750
C: 0.875 0.625 0.750
F: 0.500 0.500 0.000
F: 0.250 0.750 0.500

Output
Total moment in μB per formula unit: 0.0
Theoretical density in g/cm3: 3.3
Volume in Å³ per atom: 22.182
Calculated total energy in eV per atom: -4.097
Density of states at the Fermi level in states/eV/cell: 5.111
SG: I4_1/amd (141)

=====

# 5
## LiAc3Pd6 (GGA-PBE)

Data for LiAc3Pd6 after structural relaxation.

a b c (Å): 7.697 7.697 7.697
angles (deg): 95.54 95.54 95.54
Sites, in units of the cell vectors:
Li: 0.000 0.000 0.000
Li: 0.500 0.500 0.500
Ac: 0.196 0.750 0.304
Ac: 0.304 0.196 0.750
Ac: 0.250 0.696 0.804
Ac: 0.750 0.304 0.196
Ac: 0.696 0.804 0.250
Ac: 0.804 0.250 0.696
Pd: 0.919 0.653 0.955
Pd: 0.045 0.081 0.347
Pd: 0.153 0.419 0.455
Pd: 0.347 0.045 0.081
Pd: 0.419 0.455 0.153
Pd: 0.545 0.847 0.581
Pd: 0.455 0.153 0.419
Pd: 0.581 0.545 0.847
Pd: 0.653 0.955 0.919
Pd: 0.847 0.581 0.545
Pd: 0.955 0.919 0.653
Pd: 0.081 0.347 0.045

Output
Energy relative to the elements in meV per atom: -638
Total moment in μB per formula unit: 0.0
Theoretical density in g/cm3: 9.8
Volume in Å³ per atom: 22.461
Calculated total energy in eV per atom: -5.178
Density of states at the Fermi level in states/eV/cell: 5.794
SG: R-3c (167)

=====

# 6
## Ac6Si2HSe3 (GGA-PBE)

Data for Ac6Si2HSe3 after structural relaxation.

a b c (Å): 4.500 8.956 10.012
angles (deg): 104.64 102.99 90.00
Sites, in units of the cell vectors:
Ac: 0.338 0.911 0.677
Ac: 0.671 0.578 0.341
Ac: 0.662 0.089 0.323
Ac: 0.000 0.251 0.001
Ac: 0.000 0.749 0.999
Ac: 0.329 0.422 0.659
Si: 0.839 0.674 0.678
Si: 0.161 0.326 0.322
H: 0.500 0.000 0.000
Se: 0.500 0.500 0.000
Se: 0.830 0.164 0.661
Se: 0.170 0.836 0.339

Output
Total moment in μB per formula unit: 0.0
Theoretical density in g/cm3: 7.2
Volume in Å³ per atom: 31.641
Calculated total energy in eV per atom: -5.276
Density of states at the Fermi level in states/eV/cell: 4.463
SG: C2/m (12)

=====

# 7
## YTlP (GGA-PBE)

Data for YTlP after structural relaxation.

a b c (Å): 8.183 8.183 4.144
angles (deg): 90.00 90.00 120.00
Sites, in units of the cell vectors:
Y: 0.547 0.000 0.000
Y: 0.000 0.547 0.000
Y: 0.453 0.453 0.000
Tl: 0.000 0.000 0.000
Tl: 0.333 0.667 0.500
Tl: 0.667 0.333 0.500
P: 0.313 0.000 0.500
P: 0.000 0.313 0.500
P: 0.687 0.687 0.500

Output
Energy relative to the elements in meV per atom: -268
Energy relative to the lowest polymorph listed for this composition in kJ per mole of atoms: 36.2
Total moment in μB per formula unit: 0.0
Theoretical density in g/cm3: 6.7
Volume in Å³ per atom: 26.701
Calculated total energy in eV per atom: -5.015
Density of states at the Fermi level in states/eV/cell: 1.865
SG: P-62m (189)

=====

# 8
## SrHgMo2 (GGA-PBE)

Data for SrHgMo2 after structural relaxation.

a b c (Å): 5.902 5.902 5.283
angles (deg): 74.85 74.85 28.35
Sites, in units of the cell vectors:
Hg: 0.250 0.250 0.250
Mo: 0.979 0.979 0.025
Mo: 0.521 0.521 0.475
Sr: 0.750 0.750 0.750

Output
Energy relative to the elements in meV per atom: 872
Total moment in μB per formula unit: 0.0
Theoretical density in g/cm3: 9.5
Volume in Å³ per atom: 21.038
Calculated total energy in eV per atom: -5.039
Density of states at the Fermi level in states/eV/cell: 4.273
SG: C2/m (12)

=====

# 9
## Pr4Ho5Tm (GGA-PBE)

Data for Pr4Ho5Tm after structural relaxation.

a b c (Å): 5.961 8.148 8.148
angles (deg): 82.31 68.55 68.55
Sites, in units of the cell vectors:
Pr: 0.448 0.323 0.677
Pr: 0.771 0.677 0.677
Pr: 0.125 0.323 0.323
Pr: 0.448 0.677 0.323
Ho: 0.765 0.376 0.000
Ho: 0.142 0.000 0.624
Ho: 0.765 0.000 0.376
Ho: 0.142 0.624 0.000
Ho: 0.691 0.000 0.000
Tm: 0.213 0.000 0.000

Output
Energy relative to the elements in meV per atom: 231
Energy relative to the lowest polymorph listed for this composition in kJ per mole of atoms: 3.9
Total moment in μB per formula unit: 0.0
Theoretical density in g/cm3: 7.5
Volume in Å³ per atom: 34.281
Calculated total energy in eV per atom: -4.417
Density of states at the Fermi level in states/eV/cell: 12.613
SG: I4mm (107)

=====

# 10
## TmNpSi (GGA-PBE)

Data for TmNpSi after structural relaxation.

a b c (Å): 3.543 7.708 9.138
angles (deg): 90.00 90.00 90.00
Last column: magnetic moment on the atom in μB.
Sites, in units of the cell vectors:
Np: 0.750 0.422 0.939  1.52
Np: 0.250 0.078 0.439  1.52
Np: 0.250 0.578 0.061  1.52
Np: 0.750 0.922 0.561  1.52
Tm: 0.750 0.372 0.608  0.20
Tm: 0.250 0.128 0.108  0.20
Tm: 0.250 0.628 0.392  0.20
Tm: 0.750 0.872 0.892  0.20
Si: 0.750 0.356 0.275  -0.02
Si: 0.250 0.144 0.775  -0.02
Si: 0.250 0.644 0.725  -0.02
Si: 0.750 0.856 0.225  -0.02

Output
Total moment in μB per formula unit: 1.7
Theoretical density in g/cm3: 11.6
Volume in Å³ per atom: 20.796
Calculated total energy in eV per atom: -7.880
Density of states at the Fermi level in states/eV/cell: 16.114
SG: Pnma (62)